1.
TbLuCuTc: relaxed, PBE.

electronic total energy	-0.44328	Ry per atom
DOS at the Fermi energy	12.1	states/eV/cell

```
data_TbLuCuTc
_cell_length_a 6.826
_cell_length_b 6.826
_cell_length_c 6.826
_cell_angle_alpha 90.00
_cell_angle_beta 90.00
_cell_angle_gamma 90.00
_symmetry_space_group_name_H-M 'F -4 3 m'
_symmetry_Int_Tables_number 216
_symmetry_space_group_name_Hall 'F -4 2 3'
loop_
_atom_site_label
_atom_site_fract_x
_atom_site_fract_y
_atom_site_fract_z
Tb1 0.000 0.000 0.000
Lu1 0.000 0.000 0.500
Cu1 0.250 0.250 0.250
Tc1 0.250 0.250 0.750
```

---

2.
LuCu4Tc: relaxed, PBE.

electronic total energy	-0.38305	Ry per atom
DOS at the Fermi energy	11.3	states/eV/cell

```
data_LuCu4Tc
_cell_length_a 6.996
_cell_length_b 6.996
_cell_length_c 6.996
_cell_angle_alpha 90.00
_cell_angle_beta 90.00
_cell_angle_gamma 90.00
_symmetry_space_group_name_H-M 'F -4 3 m'
_symmetry_Int_Tables_number 216
_symmetry_space_group_name_Hall 'F -4 2 3'
loop_
_atom_site_label
_atom_site_fract_x
_atom_site_fract_y
_atom_site_fract_z
Lu1 0.000 0.000 0.000
Cu1 0.124 0.124 0.624
Tc1 0.250 0.250 0.250
```

---

3.
LuThCuTc: relaxed, PBE.

electronic total energy	-0.49740	Ry per atom
DOS at the Fermi energy	10.0	states/eV/cell

```
data_LuThCuTc
_cell_length_a 6.959
_cell_length_b 6.959
_cell_length_c 6.959
_cell_angle_alpha 90.00
_cell_angle_beta 90.00
_cell_angle_gamma 90.00
_symmetry_space_group_name_H-M 'F -4 3 m'
_symmetry_Int_Tables_number 216
_symmetry_space_group_name_Hall 'F -4 2 3'
loop_
_atom_site_label
_atom_site_fract_x
_atom_site_fract_y
_atom_site_fract_z
Lu1 0.000 0.000 0.000
Th1 0.000 0.000 0.500
Cu1 0.250 0.250 0.750
Tc1 0.250 0.250 0.250
```

---

4.
LuTiCuTc: relaxed, PBE.

electronic total energy	-0.50752	Ry per atom
DOS at the Fermi energy	14.7	states/eV/cell

```
data_LuTiCuTc
_cell_length_a 6.455
_cell_length_b 6.455
_cell_length_c 6.455
_cell_angle_alpha 90.00
_cell_angle_beta 90.00
_cell_angle_gamma 90.00
_symmetry_space_group_name_H-M 'F -4 3 m'
_symmetry_Int_Tables_number 216
_symmetry_space_group_name_Hall 'F -4 2 3'
loop_
_atom_site_label
_atom_site_fract_x
_atom_site_fract_y
_atom_site_fract_z
Lu1 0.000 0.000 0.000
Ti1 0.000 0.000 0.500
Cu1 0.250 0.250 0.750
Tc1 0.250 0.250 0.250
```

---

5.
LuVCuTc: relaxed, PBE.

electronic total energy	-0.51605	Ry per atom
DOS at the Fermi energy	13.6	states/eV/cell

```
data_LuVCuTc
_cell_length_a 6.375
_cell_length_b 6.375
_cell_length_c 6.375
_cell_angle_alpha 90.00
_cell_angle_beta 90.00
_cell_angle_gamma 90.00
_symmetry_space_group_name_H-M 'F -4 3 m'
_symmetry_Int_Tables_number 216
_symmetry_space_group_name_Hall 'F -4 2 3'
loop_
_atom_site_label
_atom_site_fract_x
_atom_site_fract_y
_atom_site_fract_z
Lu1 0.000 0.000 0.000
V1 0.000 0.000 0.500
Cu1 0.250 0.250 0.250
Tc1 0.250 0.250 0.750
```

---

6.
YLuCuTc: relaxed, PBE.

electronic total energy	-0.47658	Ry per atom
DOS at the Fermi energy	11.6	states/eV/cell

```
data_YLuCuTc
_cell_length_a 6.828
_cell_length_b 6.828
_cell_length_c 6.828
_cell_angle_alpha 90.00
_cell_angle_beta 90.00
_cell_angle_gamma 90.00
_symmetry_space_group_name_H-M 'F -4 3 m'
_symmetry_Int_Tables_number 216
_symmetry_space_group_name_Hall 'F -4 2 3'
loop_
_atom_site_label
_atom_site_fract_x
_atom_site_fract_y
_atom_site_fract_z
Y1 0.000 0.000 0.000
Lu1 0.000 0.000 0.500
Cu1 0.250 0.250 0.250
Tc1 0.250 0.250 0.750
```

---

7.
LuZrCuTc: relaxed, PBE.

electronic total energy	-0.52288	Ry per atom
DOS at the Fermi energy	13.5	states/eV/cell

```
data_LuZrCuTc
_cell_length_a 6.652
_cell_length_b 6.652
_cell_length_c 6.652
_cell_angle_alpha 90.00
_cell_angle_beta 90.00
_cell_angle_gamma 90.00
_symmetry_space_group_name_H-M 'F -4 3 m'
_symmetry_Int_Tables_number 216
_symmetry_space_group_name_Hall 'F -4 2 3'
loop_
_atom_site_label
_atom_site_fract_x
_atom_site_fract_y
_atom_site_fract_z
Lu1 0.000 0.000 0.000
Zr1 0.000 0.000 0.500
Cu1 0.250 0.250 0.750
Tc1 0.250 0.250 0.250
```

---

8.
LuCuTe2: relaxed, PBE.

raw formation energy	-0.71	eV/atom
electronic total energy	-0.32575	Ry per atom

```
data_LuCuTe2
_cell_length_a 4.4434
_cell_length_b 4.4434
_cell_length_c 24.4369
_cell_angle_alpha 90.00
_cell_angle_beta 90.00
_cell_angle_gamma 120.00
_symmetry_space_group_name_H-M 'R -3 m'
_symmetry_Int_Tables_number 166
_symmetry_space_group_name_Hall '-R 3 2"'
loop_
_atom_site_label
_atom_site_fract_x
_atom_site_fract_y
_atom_site_fract_z
Lu1 0.0000 0.0000 0.0000
Cu1 0.0000 0.0000 0.5000
Te1 0.0000 0.0000 0.4001
```